Below is a relaxed structure of Mg2HgS, with properties calculated at the PBE level.

density of states at the Fermi level = 0.0 states/eV per cell
relative energy among the computed polymorphs = 0.45 eV/f.u.
formation energy without anion corrections = -0.5611 eV per atom

Geometry as CIF:
```
data_Mg2HgS
_cell_length_a 7.1718
_cell_length_b 7.1718
_cell_length_c 7.0704
_cell_angle_alpha 90.00
_cell_angle_beta 90.00
_cell_angle_gamma 90.00
_space_group_name_H-M_alt 'I -4 2 d'
_space_group_IT_number 122
_space_group_name_Hall 'I -4 2bw'
loop_
_atom_site_label
_atom_site_type_symbol
_atom_site_fract_x
_atom_site_fract_y
_atom_site_fract_z
Mg1 Mg 0.2045 0.2500 0.1250
Hg1 Hg 0.0000 0.0000 0.5000
S1 S 0.0000 0.0000 0.0000
```